[1]
Computed, not measured: TcAg2Mo after structural relaxation at the GGA-PBE level of DFT.

Properties
* crystal system: trigonal
* space-group type: No. 166
* formation enthalpy at 0 K: 2.34 eV/f.u.
* spin magnetization: 0.3 μB/cell
* DOS at the Fermi energy: 1.29 states/eV/atom
* energy relative to the lowest polymorph listed for this composition: 296 meV per atom

Cell and atoms, written as extended XYZ:
```
4
Lattice="-5.1652 -8.4554 0.1974 -2.9369 -9.3934 -1.1618 -2.9430 -9.3250 1.6109" Properties=species:S:1:pos:R:3 pbc="T T T"
Ag -0.0089 -0.0220 0.0005
Ag -5.5136 -13.5649 0.3227
Mo -2.7613 -6.7934 0.1616
Tc -8.2839 -20.3803 0.4848
```

=====

[2]
Computed, not measured: TcAgMo after structural relaxation at the GGA-PBE level of DFT.

Properties
* crystal system: tetragonal
* space-group type: No. 107
* formation enthalpy at 0 K: 1.30 eV/f.u.
* spin magnetization: 0.0 μB/cell
* DOS at the Fermi energy: 1.07 states/eV/atom
* energy relative to the lowest polymorph listed for this composition: 58 meV per atom

Cell and atoms, written as extended XYZ:
```
3
Lattice="5.3402 0.0927 0.0000 3.3573 4.1540 0.0000 -4.3488 -2.1233 2.2598" Properties=species:S:1:pos:R:3 pbc="T T T"
Ag 0.0009 0.0004 0.0000
Mo 2.7280 1.3320 0.0000
Tc 5.9687 2.9143 0.0000
```

=====

[3]
Computed, not measured: TcAg2Mo after structural relaxation at the GGA-PBE level of DFT.

Properties
* crystal system: cubic
* space-group type: No. 225
* formation enthalpy at 0 K: 3.85 eV/f.u.
* spin magnetization: 0.0 μB/cell
* DOS at the Fermi energy: 1.10 states/eV/atom
* energy relative to the lowest polymorph listed for this composition: 675 meV per atom

Cell and atoms, written as extended XYZ:
```
4
Lattice="0.0000 3.1995 3.1995 3.1995 0.0000 3.1995 3.1995 3.1995 0.0000" Properties=species:S:1:pos:R:3 pbc="T T T"
Mo 0.0000 0.0000 0.0000
Tc 3.1995 3.1995 3.1995
Ag 1.5998 1.5998 1.5998
Ag 4.7993 4.7993 4.7993
```

=====

[4]
Computed, not measured: TcAg2Mo after structural relaxation at the GGA-PBE level of DFT.

Properties
* crystal system: tetragonal
* space-group type: No. 122
* formation enthalpy at 0 K: 9.74 eV/f.u.
* spin magnetization: 0.0 μB/cell
* DOS at the Fermi energy: 0.67 states/eV/atom
* energy relative to the lowest polymorph listed for this composition: 2147 meV per atom

Cell and atoms, written as extended XYZ:
```
8
Lattice="5.8231 0.0000 0.0000 0.0000 5.8231 0.0000 2.9115 2.9115 5.7451" Properties=species:S:1:pos:R:3 pbc="T T T"
Mo 2.9115 2.9115 0.0000
Mo 2.9115 5.8231 2.8726
Tc 0.0000 0.0000 0.0000
Tc 5.8231 2.9115 2.8726
Ag 4.3916 1.4558 1.4363
Ag 1.4315 4.3673 1.4363
Ag 4.3673 4.3430 4.3088
Ag 7.2788 7.3031 4.3088
```

=====

[5]
Computed, not measured: Zn2TcAgMo after structural relaxation at the GGA-PBE level of DFT.

Properties
* crystal system: tetragonal
* space-group type: No. 123
* formation enthalpy at 0 K: 8.12 eV/f.u.
* spin magnetization: 0.7 μB/cell
* DOS at the Fermi energy: 0.91 states/eV/atom

Cell and atoms, written as extended XYZ:
```
5
Lattice="-1.0995 -1.6235 4.1511 -1.1297 -4.5614 -2.0832 4.3416 -1.3579 0.6189" Properties=species:S:1:pos:R:3 pbc="T T T"
Zn 2.1708 -0.6789 0.3095
Zn -0.5498 -0.8118 2.0756
Mo -0.5648 -2.2807 -1.0416
Tc 1.0562 -3.7714 1.3434
Ag 0.0000 0.0000 0.0000
```

=====

[6]
Computed, not measured: AgTeMo2 after structural relaxation at the GGA-PBE level of DFT.

Properties
* crystal system: monoclinic
* space-group type: No. 12
* raw formation energy: 2.3 eV/f.u.
* spin magnetization: 0.0 μB/cell
* DOS at the Fermi energy: 0.72 states/eV/atom

Cell and atoms, written as extended XYZ:
```
4
Lattice="5.1923 -0.0126 -0.0054 4.1158 3.1654 -0.0054 1.6188 0.5483 4.7142" Properties=species:S:1:pos:R:3 pbc="T T T"
Ag 2.7317 0.9253 1.1758
Mo 0.1865 0.0632 0.2847
Mo 5.2770 1.7874 2.0669
Te 8.1952 2.7759 3.5275
```

=====

[7]
Computed, not measured: AgTeMo2 after structural relaxation at the GGA-PBE level of DFT.

Properties
* crystal system: monoclinic
* space-group type: No. 12
* raw formation energy: 2.9 eV/f.u.
* spin magnetization: 0.0 μB/cell
* DOS at the Fermi energy: 0.83 states/eV/atom

Cell and atoms, written as extended XYZ:
```
4
Lattice="-3.9579 0.3457 3.5393 2.1477 -4.8255 -0.6428 1.5900 -0.1547 2.5125" Properties=species:S:1:pos:R:3 pbc="T T T"
Ag 1.8688 -2.4901 0.9349
Mo 0.0000 0.0000 0.0000
Mo -0.9051 -2.2399 1.4483
Te -1.1840 0.0955 3.0259
```

=====

[8]
Computed, not measured: Ag2TeMo after structural relaxation at the GGA-PBE level of DFT.

Properties
* crystal system: tetragonal
* space-group type: No. 123
* raw formation energy: 2.5 eV/f.u.
* spin magnetization: 1.0 μB/cell
* DOS at the Fermi energy: 0.81 states/eV/atom

Cell and atoms, written as extended XYZ:
```
4
Lattice="3.8114 0.0000 0.0000 0.0000 3.8114 0.0000 0.0000 0.0000 5.4823" Properties=species:S:1:pos:R:3 pbc="T T T"
Ag 0.0000 0.0000 0.0558
Ag 0.0000 0.0000 2.6853
Mo 1.9057 1.9057 1.3706
Te 1.9057 1.9057 4.1117
```

=====

[9]
Computed, not measured: AgTeMo2 after structural relaxation at the GGA-PBE level of DFT.

Properties
* crystal system: orthorhombic
* space-group type: No. 65
* raw formation energy: 3.6 eV/f.u.
* spin magnetization: 0.0 μB/cell
* DOS at the Fermi energy: 0.77 states/eV/atom

Cell and atoms, written as extended XYZ:
```
4
Lattice="-0.6553 2.2955 -1.5973 -1.5954 0.1115 2.3859 6.7391 4.8999 4.2772" Properties=species:S:1:pos:R:3 pbc="T T T"
Ag 3.9290 4.8784 3.6022
Mo 6.7203 4.8862 4.2653
Mo 3.3883 2.4636 2.1505
Te 0.5595 2.4285 1.4636
```

=====

[10]
Computed, not measured: AgTeMo after structural relaxation at the GGA-PBE level of DFT.

Properties
* crystal system: cubic
* space-group type: No. 216
* raw formation energy: 1.7 eV/f.u.
* spin magnetization: 0.7 μB/cell
* DOS at the Fermi energy: 1.29 states/eV/atom
* energy relative to the lowest polymorph listed for this composition: 142 meV per atom

Cell and atoms, written as extended XYZ:
```
3
Lattice="-2.8078 2.4298 -2.6106 -3.3002 -2.0736 -2.3264 -4.3345 0.5515 1.2292" Properties=species:S:1:pos:R:3 pbc="T T T"
Ag -5.2213 0.4538 -1.8539
Mo -2.6106 0.2269 -0.9270
Te 0.0000 0.0000 0.0000
```

=====

[11]
Computed, not measured: Ag2TeMo after structural relaxation at the GGA-PBE level of DFT.

Properties
* crystal system: orthorhombic
* space-group type: No. 47
* raw formation energy: 2.0 eV/f.u.
* spin magnetization: 0.0 μB/cell
* DOS at the Fermi energy: 0.68 states/eV/atom

Cell and atoms, written as extended XYZ:
```
4
Lattice="-3.1773 0.7352 0.0289 -0.6950 -3.1291 3.1931 0.8518 3.5377 3.6521" Properties=species:S:1:pos:R:3 pbc="T T T"
Ag 0.0000 0.0000 0.0000
Ag -1.9361 -1.1969 1.6110
Mo -1.1627 2.1364 1.8405
Te 0.0784 0.2043 3.4226
```

=====

[12]
Computed, not measured: AgTe3Mo after structural relaxation at the GGA-PBE level of DFT.

Properties
* crystal system: cubic
* space-group type: No. 221
* raw formation energy: 2.8 eV/f.u.
* spin magnetization: 0.0 μB/cell
* DOS at the Fermi energy: 0.91 states/eV/atom
* energy relative to the lowest polymorph listed for this composition: 0 meV per atom

Cell and atoms, written as extended XYZ:
```
5
Lattice="5.3108 0.0000 0.0000 0.0000 5.3108 0.0000 0.0000 0.0000 5.3108" Properties=species:S:1:pos:R:3 pbc="T T T"
Mo 0.0000 0.0000 0.0000
Te 0.0000 2.6554 0.0000
Te 0.0000 0.0000 2.6554
Te 2.6554 0.0000 0.0000
Ag 2.6554 2.6554 2.6554
```